# 1
# RbRh2I | Alexandria | GGA-PBE | relaxed
data_RbRh2I
_cell_length_a 5.271
_cell_length_b 5.271
_cell_length_c 17.521
_cell_angle_alpha 90.00
_cell_angle_beta 90.00
_cell_angle_gamma 90.00
_symmetry_space_group_name_H-M 'I -4 2 d'
_symmetry_Int_Tables_number 122
_symmetry_space_group_name_Hall 'I -4 2bw'
loop_
_atom_site_label
_atom_site_type_symbol
_atom_site_fract_x
_atom_site_fract_y
_atom_site_fract_z
Rb1 Rb 0.000 0.000 0.000
Rh1 Rh 0.044 0.250 0.625
I1 I 0.000 0.000 0.500
# Uncorrected energy   -64.502 eV for the cell shown
# Density of states at the Fermi level   18.52 states/eV per cell
# Energy above the most stable polymorph in this dataset   0.0 kJ per mole of atoms
# ΔE_f (raw)   6.31 kcal/mol of atoms


# 2
# Sm8Tl2Pt | Alexandria | GGA-PBE | relaxed
data_Sm8Tl2Pt
_cell_length_a 9.007
_cell_length_b 16.244
_cell_length_c 6.032
_cell_angle_alpha 90.00
_cell_angle_beta 130.29
_cell_angle_gamma 90.00
_symmetry_space_group_name_H-M 'C 1 m 1'
_symmetry_Int_Tables_number 8
_symmetry_space_group_name_Hall 'C -2y'
loop_
_atom_site_label
_atom_site_type_symbol
_atom_site_fract_x
_atom_site_fract_y
_atom_site_fract_z
Sm1 Sm 0.000 0.000 0.000
Sm2 Sm 0.006 0.500 0.701
Sm3 Sm 0.128 0.303 0.681
Sm4 Sm 0.353 0.119 0.968
Sm5 Sm 0.361 0.385 0.358
Tl1 Tl 0.133 0.200 0.201
Pt1 Pt 0.132 0.500 0.383
# Uncorrected energy   -103.972 eV for the cell shown
# Density of states at the Fermi level   25.28 states/eV per cell
# Energy above the most stable polymorph in this dataset   1.8 kJ per mole of atoms


# 3
# Nb3AsAu | Alexandria | GGA-PBE | relaxed
data_Nb3AsAu
_cell_length_a 4.969
_cell_length_b 4.969
_cell_length_c 4.969
_cell_angle_alpha 90.00
_cell_angle_beta 90.00
_cell_angle_gamma 90.00
_symmetry_space_group_name_H-M 'P m -3 m'
_symmetry_Int_Tables_number 221
_symmetry_space_group_name_Hall '-P 4 2 3'
loop_
_atom_site_label
_atom_site_type_symbol
_atom_site_fract_x
_atom_site_fract_y
_atom_site_fract_z
Nb1 Nb 0.000 0.000 0.500
As1 As 0.500 0.500 0.500
Au1 Au 0.000 0.000 0.000
# Uncorrected energy   -30.682 eV for the cell shown
# Density of states at the Fermi level   8.58 states/eV per cell
# Energy above the most stable polymorph in this dataset   80.9 kJ per mole of atoms


# 4
# Th4GeS5 | Alexandria | GGA-PBE | relaxed
data_Th4GeS5
_cell_length_a 17.873
_cell_length_b 4.168
_cell_length_c 8.280
_cell_angle_alpha 90.00
_cell_angle_beta 106.43
_cell_angle_gamma 90.00
_symmetry_space_group_name_H-M 'C 1 2/m 1'
_symmetry_Int_Tables_number 12
_symmetry_space_group_name_Hall '-C 2y'
loop_
_atom_site_label
_atom_site_type_symbol
_atom_site_fract_x
_atom_site_fract_y
_atom_site_fract_z
Th1 Th 0.000 0.000 0.241
Th2 Th 0.172 0.500 0.614
Ge1 Ge 0.000 0.500 0.500
S1 S 0.000 0.500 0.000
S2 S 0.164 0.000 0.828
S3 S 0.166 0.000 0.370
# Uncorrected energy   -142.839 eV for the cell shown
# Density of states at the Fermi level   8.70 states/eV per cell
# ΔE_f (raw)   -38.02 kcal/mol of atoms


# 5
# MnNbPd6 | Alexandria | GGA-PBE | relaxed
data_MnNbPd6
_cell_length_a 7.2264
_cell_length_b 7.2264
_cell_length_c 9.6204
_cell_angle_alpha 90.00
_cell_angle_beta 90.00
_cell_angle_gamma 120.00
_symmetry_space_group_name_H-M 'R -3 m'
_symmetry_Int_Tables_number 166
_symmetry_space_group_name_Hall '-R 3 2"'
loop_
_atom_site_label
_atom_site_type_symbol
_atom_site_fract_x
_atom_site_fract_y
_atom_site_fract_z
Mn1 Mn 0.0000 0.0000 0.0000
Nb1 Nb 0.0000 0.0000 0.5000
Pd1 Pd 0.0827 0.5413 0.8747
# Uncorrected energy   -145.259 eV for the cell shown
# Density of states at the Fermi level   20.80 states/eV per cell
# Energy above the most stable polymorph in this dataset   59.4 kJ per mole of atoms


# 6
# DyHo3Tl4 | Alexandria | GGA-PBE | relaxed
data_DyHo3Tl4
_cell_length_a 10.012
_cell_length_b 6.699
_cell_length_c 6.606
_cell_angle_alpha 90.00
_cell_angle_beta 90.00
_cell_angle_gamma 90.00
_symmetry_space_group_name_H-M 'P m n 21'
_symmetry_Int_Tables_number 31
_symmetry_space_group_name_Hall 'P 2ac -2'
loop_
_atom_site_label
_atom_site_type_symbol
_atom_site_fract_x
_atom_site_fract_y
_atom_site_fract_z
Dy1 Dy 0.000 0.001 0.000
Ho1 Ho 0.000 0.501 0.002
Ho2 Ho 0.250 0.250 0.251
Tl1 Tl 0.000 0.000 0.500
Tl2 Tl 0.000 0.500 0.502
Tl3 Tl 0.250 0.250 0.751
# Uncorrected energy   -58.905 eV for the cell shown
# Density of states at the Fermi level   14.59 states/eV per cell
# Energy above the most stable polymorph in this dataset   12.2 kJ per mole of atoms


# 7
# NaNpTl2 | Alexandria | GGA-PBE | relaxed
data_NaNpTl2
_cell_length_a 5.848
_cell_length_b 5.848
_cell_length_c 3.145
_cell_angle_alpha 90.00
_cell_angle_beta 90.00
_cell_angle_gamma 90.00
_symmetry_space_group_name_H-M 'P 4/m m m'
_symmetry_Int_Tables_number 123
_symmetry_space_group_name_Hall '-P 4 2'
loop_
_atom_site_label
_atom_site_type_symbol
_atom_site_fract_x
_atom_site_fract_y
_atom_site_fract_z
Na1 Na 0.000 0.000 0.000
Np1 Np 0.500 0.500 0.000
Tl1 Tl 0.000 0.500 0.500
# Uncorrected energy   -18.334 eV for the cell shown
# Density of states at the Fermi level   9.18 states/eV per cell


# 8
# CePmSnRu | Alexandria | GGA-PBE | relaxed
data_CePmSnRu
_cell_length_a 7.348
_cell_length_b 7.348
_cell_length_c 7.348
_cell_angle_alpha 90.00
_cell_angle_beta 90.00
_cell_angle_gamma 90.00
_symmetry_space_group_name_H-M 'F -4 3 m'
_symmetry_Int_Tables_number 216
_symmetry_space_group_name_Hall 'F -4 2 3'
loop_
_atom_site_label
_atom_site_type_symbol
_atom_site_fract_x
_atom_site_fract_y
_atom_site_fract_z
Ce1 Ce 0.000 0.000 0.000
Pm1 Pm 0.000 0.000 0.500
Sn1 Sn 0.250 0.250 0.250
Ru1 Ru 0.250 0.250 0.750
# Uncorrected energy   -100.038 eV for the cell shown
# Density of states at the Fermi level   27.19 states/eV per cell


Which of these has the lowest density of states at the Fermi level? Nb3AsAu


Among the records above, which one has the lowest uncorrected energy? MnNbPd6


Repeat the eighth record exactly.
# CePmSnRu | Alexandria | GGA-PBE | relaxed
data_CePmSnRu
_cell_length_a 7.348
_cell_length_b 7.348
_cell_length_c 7.348
_cell_angle_alpha 90.00
_cell_angle_beta 90.00
_cell_angle_gamma 90.00
_symmetry_space_group_name_H-M 'F -4 3 m'
_symmetry_Int_Tables_number 216
_symmetry_space_group_name_Hall 'F -4 2 3'
loop_
_atom_site_label
_atom_site_type_symbol
_atom_site_fract_x
_atom_site_fract_y
_atom_site_fract_z
Ce1 Ce 0.000 0.000 0.000
Pm1 Pm 0.000 0.000 0.500
Sn1 Sn 0.250 0.250 0.250
Ru1 Ru 0.250 0.250 0.750
# Uncorrected energy   -100.038 eV for the cell shown
# Density of states at the Fermi level   27.19 states/eV per cell


Among the records above, which one has the highest density of states at the Fermi level? CePmSnRu